The following is a DFT calculation (GGA-PBEsol) of MgH16I2O16 after structural relaxation.

Computed properties:
D(E_F) (states/eV/f.u.): 0.0
Uncorrected energy (eV per atom): -5.004
Crystal system: monoclinic
Magnetic moment (μB/cell): 0.00

Cell: 10.5842 5.4113 11.8005 Å, 90.00 112.20 90.00°
With the nearest neighbours (Å) after each atom.
Positions (direct):
Mg  0.0000  0.0000  0.0000  6 O 2.07-2.09
Mg  0.0000  0.5000  0.5000  6 O 2.07-2.09
H  0.0498  0.1472  0.2338  1 O 0.99
H  0.0498  0.3528  0.7338  1 O 0.99
H  0.1136  0.6634  0.3387  1 O 0.99
H  0.1136  0.8366  0.8387  1 O 0.99
H  0.1362  0.5427  0.0787  1 O 1.00
H  0.1362  0.9573  0.5787  1 O 1.00
H  0.1892  0.2286  0.4708  1 O 1.02
H  0.1892  0.2714  0.9708  1 O 1.02
H  0.2224  0.7225  0.6483  1 O 0.99
H  0.2224  0.7775  0.1483  1 O 0.99
H  0.2490  0.1744  0.1101  1 O 1.00
H  0.2490  0.3256  0.6101  1 O 1.00
H  0.3667  0.5858  0.3849  1 O 1.03
H  0.3667  0.9142  0.8849  1 O 1.03
H  0.4775  0.6208  0.6731  1 O 1.03
H  0.4775  0.8792  0.1731  1 O 1.03
H  0.5225  0.1208  0.8269  1 O 1.03
H  0.5225  0.3792  0.3269  1 O 1.03
H  0.6333  0.0858  0.1151  1 O 1.03
H  0.6333  0.4142  0.6151  1 O 1.03
H  0.7510  0.6744  0.3899  1 O 1.00
H  0.7510  0.8256  0.8899  1 O 1.00
H  0.7776  0.2225  0.8517  1 O 0.99
H  0.7776  0.2775  0.3517  1 O 0.99
H  0.8108  0.7286  0.0292  1 O 1.02
H  0.8108  0.7714  0.5292  1 O 1.02
H  0.8638  0.0427  0.4213  1 O 1.00
H  0.8638  0.4573  0.9213  1 O 1.00
H  0.8864  0.1634  0.1613  1 O 0.99
H  0.8864  0.3366  0.6613  1 O 0.99
H  0.9502  0.6472  0.2662  1 O 0.99
H  0.9502  0.8528  0.7662  1 O 0.99
I  0.3794  0.0392  0.3755  6 O 1.80-2.01
I  0.3794  0.4608  0.8755  6 O 1.80-2.01
I  0.6206  0.5392  0.1245  6 O 1.80-2.01
I  0.6206  0.9608  0.6245  6 O 1.80-2.01
O  0.0276  0.6016  0.3421  2 H 0.99
O  0.0276  0.8984  0.8421  2 H 0.99
O  0.1284  0.7200  0.0993  2 H 0.99-1.00
O  0.1284  0.7800  0.5993  2 H 0.99-1.00
O  0.1650  0.2429  0.0455  2 H 1.00-1.02
O  0.1650  0.2571  0.5455  2 H 1.00-1.02
O  0.2174  0.1837  0.3503  1 H 1.58
O  0.2174  0.3163  0.8503  1 H 1.58
O  0.3056  0.7261  0.3934  1 H 1.03
O  0.3056  0.7739  0.8934  1 H 1.03
O  0.3647  0.5320  0.7186  1 H 1.56
O  0.3647  0.9680  0.2186  1 H 1.56
O  0.4347  0.0970  0.5565  2 I 1.97-2.01
O  0.4347  0.4030  0.0565  2 I 1.97-2.01
O  0.4538  0.1373  0.8694  1 H 1.03
O  0.4538  0.3627  0.3694  1 H 1.03
O  0.5462  0.6373  0.6306  1 H 1.03
O  0.5462  0.8627  0.1306  1 H 1.03
O  0.5653  0.5970  0.9435  2 I 1.97-2.01
O  0.5653  0.9030  0.4435  2 I 1.97-2.01
O  0.6353  0.0320  0.7814  1 H 1.56
O  0.6353  0.4680  0.2814  1 H 1.56
O  0.6944  0.2261  0.1066  1 H 1.03
O  0.6944  0.2739  0.6066  1 H 1.03
O  0.7826  0.6837  0.1497  1 H 1.58
O  0.7826  0.8163  0.6497  1 H 1.58
O  0.8350  0.7429  0.4545  2 H 1.00-1.02
O  0.8350  0.7571  0.9545  2 H 1.00-1.02
O  0.8716  0.2200  0.4007  2 H 0.99-1.00
O  0.8716  0.2800  0.9007  2 H 0.99-1.00
O  0.9724  0.1016  0.1579  2 H 0.99
O  0.9724  0.3984  0.6579  2 H 0.99